[1]
DFT (PBE) results for crystalline GaBiCl3 at its relaxed geometry.

```
5
Lattice="5.0519 0.0000 0.0000 0.0000 5.0519 0.0000 0.0000 0.0000 5.0519" Properties=species:S:1:pos:R:3 pbc="T T T"
Cl 0.0000 0.0000 2.5260
Cl 2.5260 0.0000 0.0000
Cl 0.0000 2.5260 0.0000
Bi 2.5260 2.5260 2.5260
Ga 0.0000 0.0000 0.0000
```

Properties
Its energy above the most stable polymorph in this dataset is 0.3657 eV per atom. For the density of states at the Fermi level, the calculation gives 3.1 states/eV per cell.

---

[2]
DFT (PBE) results for crystalline Ga2Bi4Cl3 at its relaxed geometry.

```
18
Lattice="-5.6686 2.6957 -2.6196 3.2404 -4.9926 -7.3374 -3.0827 -8.5022 2.7340" Properties=species:S:1:pos:R:3 pbc="T T T"
Bi 0.4554 -8.7042 -4.3195
Bi -1.8293 -2.7196 -3.6685
Bi -5.9663 -2.0948 -2.9035
Bi 0.9343 -3.8242 -4.8698
Bi -3.6816 -8.0793 -3.5545
Bi -0.1943 -6.4264 -6.4852
Bi -5.3165 -4.3726 -0.7378
Bi -6.4452 -6.9748 -2.3532
Ga -2.6753 -3.5093 -1.0767
Ga -2.8356 -7.2897 -6.1463
Ga -3.9970 -1.3219 -4.7958
Ga -1.5139 -9.4771 -2.4272
Cl -4.9444 -0.0906 -1.4589
Cl -0.7208 -0.6674 -2.3620
Cl -0.5665 -10.7084 -5.7641
Cl -1.7408 -6.2968 -2.3155
Cl -4.7901 -10.1316 -4.8610
Cl -3.7701 -4.5021 -4.9076
```

Properties
For the density of states at the Fermi level, the calculation gives 2.1 states/eV per cell.

---

[3]
DFT (PBE) results for crystalline Ga6BiCl12 at its relaxed geometry.

```
19
Lattice="-1.3149 -5.3555 6.6709 5.5525 -6.5873 -0.8283 6.4162 1.2878 5.6643" Properties=species:S:1:pos:R:3 pbc="T T T"
Ga 1.9250 -2.5924 4.5830
Ga 2.6541 -4.4073 2.2273
Ga 7.9998 -6.2476 9.2796
Ga 8.7289 -8.0625 6.9239
Ga 4.3900 -1.9702 2.8768
Ga 6.2639 -8.6847 8.6301
Cl 7.4770 -7.1228 5.0640
Cl 0.8118 -6.9021 5.8760
Cl 5.1675 -9.8779 4.2874
Cl 6.1649 -3.2431 3.9438
Cl 4.4890 -7.4118 7.5631
Cl 3.6065 -6.1743 3.5984
Cl 7.0474 -4.4805 7.9085
Cl 3.1769 -3.5321 6.4428
Cl 9.8421 -3.7528 5.6309
Cl 5.4864 -0.7770 7.2195
Cl 3.6315 -5.0122 10.2153
Cl 7.0224 -5.6427 1.2916
Bi 0.0000 0.0000 0.0000
```

Properties
For the density of states at the Fermi level, the calculation gives 9.1 states/eV per cell.

---

Per-record M_tot, μB/f.u.: 0.0, 0.0, 0.0
Per-record V, Å³ per cell: 128.94, 580.59, 574.21
Per-record formation energy (no corrections), meV/atom: -293, -314, -755